Record 1
# ZnCoMo2 PBE relaxed
# Size of the total moment, μB/f.u.: 0.730
data_ZnCoMo2
_chemical_formula_sum 'Zn1 Co1 Mo2'
_cell_length_a 3.175
_cell_length_b 3.175
_cell_length_c 5.642
_cell_angle_alpha 90.00
_cell_angle_beta 90.00
_cell_angle_gamma 90.00
_space_group_name_H-M_alt 'P 4 m m'
_space_group_IT_number 99
loop_
_space_group_symop_operation_xyz
'x,y,z'
'-y,x,z'
'-x,-y,z'
'y,-x,z'
'-x,y,z'
'y,x,z'
'x,-y,z'
'-y,-x,z'
loop_
_atom_site_label
_atom_site_type_symbol
_atom_site_fract_x
_atom_site_fract_y
_atom_site_fract_z
Zn1 Zn 0.000 0.000 0.000
Co1 Co 0.500 0.500 0.213
Mo1 Mo 0.000 0.000 0.481
Mo2 Mo 0.500 0.500 0.730

=====

Record 2
# ZnCo3Mo PBE relaxed
# Size of the total moment, μB/f.u.: 5.149
data_ZnCo3Mo
_chemical_formula_sum 'Zn1 Co3 Mo1'
_cell_length_a 4.222
_cell_length_b 4.222
_cell_length_c 4.222
_cell_angle_alpha 90.00
_cell_angle_beta 90.00
_cell_angle_gamma 90.00
_space_group_name_H-M_alt 'P m -3 m'
_space_group_IT_number 221
_space_group_name_Hall '-P 4 2 3'
loop_
_atom_site_label
_atom_site_type_symbol
_atom_site_fract_x
_atom_site_fract_y
_atom_site_fract_z
Zn1 Zn 0.000 0.000 0.000
Co1 Co 0.000 0.000 0.500
Mo1 Mo 0.500 0.500 0.500

=====

Number 1: formation energy from the elements 158 meV per atom, DOS(E_F) 3.9 states/eV/f.u.. Number 2: formation energy from the elements 1360 meV per atom, DOS(E_F) 6.7 states/eV/f.u..